Density functional theory data (PBE) for a relaxed Zn2Mo crystal.

a b c (Å): 4.7717 4.7717 4.5615
angles (deg): 90.00 90.00 120.00
Space group P-62m (No. 189)
One atom of each set of equivalent atoms:
Zn1 0.0000 0.0000 0.0000 (multiplicity 1)
Zn2 0.0000 0.3603 0.5000 (multiplicity 3)
Mo1 0.3333 0.6667 0.0000 (multiplicity 2)

## Properties
total DFT energy (no corrections) = -26.27 eV for the cell shown
energy of formation from the pure elements = 0.081 eV per atom
calculated density = 8.4 g/cm3


Density functional theory data (PBE) for a relaxed TmScSi crystal.

a b c (Å): 6.735 6.735 6.735
angles (deg): 90.00 90.00 90.00
Space group F-43m (No. 216)
One atom of each set of equivalent atoms:
Tm1 0.000 0.000 0.000 (multiplicity 4)
Sc1 0.250 0.250 0.750 (multiplicity 4)
Si1 0.250 0.250 0.250 (multiplicity 4)

## Properties
total DFT energy (no corrections) = -59.73 eV for the cell shown
calculated density = 5.3 g/cm3


Number 1: spin magnetization 0.0 μB/f.u.. Number 2: spin magnetization 0.3 μB/f.u..